HfMg2V (PBE-GGA, optimized geometry); final energy = -5.135 eV per atom
1.0
0.000 3.398 3.398
3.398 0.000 3.398
3.398 3.398 0.000
Mg Hf V
2 1 1
Cartesian
1.699 1.699 1.699
5.097 5.097 5.097
3.398 3.398 3.398
0.000 0.000 0.000

---

InTcPt2 (PBE-GGA, optimized geometry); final energy = -6.253 eV per atom
1.0
9.223 0.013 0.008
8.763 2.878 0.008
8.763 1.408 2.510
In Pt Tc
1 2 1
Cartesian
20.078 3.227 1.895
26.733 4.296 2.523
6.604 1.061 0.623
13.458 2.163 1.270

---

CsRhI2 (PBE-GGA, optimized geometry); formation energy (no corrections) = -0.368 eV per atom
1.0
4.516 0.000 0.000
2.258 3.911 0.000
2.258 1.304 8.152
Rh I Cs
1 2 1
Cartesian
4.516 2.607 4.076
6.774 3.911 5.460
2.258 1.304 2.692
0.000 0.000 0.000

---

CaScNi2Ge (PBE-GGA, optimized geometry); final energy = -4.577 eV per atom
1.0
4.614 0.000 0.000
0.000 5.136 0.000
0.000 0.000 4.614
Ca Sc Ge Ni
1 1 1 2
Cartesian
2.307 2.568 2.307
0.000 0.000 0.000
0.000 2.568 0.000
0.000 0.000 2.307
2.307 0.000 0.000

---

NdH5Ir (PBE-GGA, optimized geometry); final energy = -4.826 eV per atom
1.0
4.358 0.677 1.373
1.128 4.264 1.373
1.000 0.901 7.807
H Nd Ir
10 2 2
Cartesian
2.697 0.836 1.566
4.608 0.903 3.324
4.873 2.796 5.083
3.289 4.556 5.081
1.111 2.595 1.568
3.789 5.005 8.987
1.878 4.939 7.228
3.197 1.285 5.471
5.374 3.247 8.985
1.613 3.045 5.469
2.993 2.696 3.324
3.493 3.146 7.228
0.500 0.450 3.904
0.000 0.000 0.000

---

NdHoN (PBE-GGA, optimized geometry); formation energy (no corrections) = -0.288 eV per atom
1.0
4.329 0.000 0.000
2.164 3.749 0.000
2.164 1.250 3.534
N Nd Ho
1 1 1
Cartesian
2.164 1.250 0.884
4.329 2.499 1.767
0.000 0.000 0.000

---

Tb2ErAu (PBE-GGA, optimized geometry); final energy = -4.543 eV per atom
1.0
3.643 0.000 0.000
1.821 3.155 0.000
1.821 1.052 10.062
Er Tb Au
1 2 1
Cartesian
3.643 2.103 5.031
1.821 1.052 2.164
5.464 3.155 7.898
0.000 0.000 0.000

---

AcTb2 (PBE-GGA, optimized geometry); final energy = -4.402 eV per atom
1.0
-3.504 0.910 0.928
0.825 -0.506 3.610
3.415 7.210 -1.704
Ac Tb
1 2
Cartesian
0.000 0.000 0.000
-0.622 2.764 2.465
1.358 4.849 0.370